No. 1
InTe2OF after structural relaxation. Source: Alexandria via LeMat-Bulk, functional GGA-PBE.

a = 4.721 Å, b = 4.721 Å, c = 4.799 Å
α = 90.00°, β = 90.00°, γ = 90.00°
Atoms (fractional coordinates):
In 0.000 0.000 0.000
Te 0.000 0.500 0.500
Te 0.500 0.000 0.500
O 0.500 0.500 0.000
F 0.500 0.500 0.500

## Properties
Uncorrected energy   -3.001 eV/atom
Size of the total moment   0.0 μB per cell
SG   P4/mmm (123)

---

No. 2
InTeO2F after structural relaxation. Source: Alexandria via LeMat-Bulk, functional GGA-PBE.

a = 4.216 Å, b = 4.216 Å, c = 4.675 Å
α = 90.00°, β = 90.00°, γ = 90.00°
Atoms (fractional coordinates):
In 0.000 0.000 0.000
Te 0.500 0.500 0.500
O 0.000 0.500 0.500
O 0.500 0.000 0.500
F 0.500 0.500 0.000

## Properties
Uncorrected energy   -4.539 eV/atom
Size of the total moment   0.0 μB per cell
SG   P4/mmm (123)